First-principles (meta-GGA SCAN) data for K3BaIr at its PBEsol-relaxed geometry, as listed in the Alexandria database.

abc: 6.169 6.169 6.169
angles: 90.00 90.00 90.00
Space group Pm-3m (No. 221)
Unique sites:
K: 0.000 0.000 0.500 (multiplicity 3)
Ba: 0.500 0.500 0.500 (multiplicity 1)
Ir: 0.000 0.000 0.000 (multiplicity 1)

The excess energy over the best structure of this formula in the dataset is 0.000 eV/atom. The value obtained for the theoretical density is 3.160 g/cm3. The calculation puts the density of states at the Fermi level at 5.11 states/eV/cell. Its formation energy is 0.7669 eV/atom.

---

First-principles (meta-GGA SCAN) data for YMg4Cu at its PBEsol-relaxed geometry, as listed in the Alexandria database.

abc: 13.349 19.932 3.889
angles: 90.00 90.00 90.00
Space group Cmmm (No. 65)
Unique sites:
Y: 0.000 0.132 0.000 (multiplicity 4)
Y: 0.197 0.000 0.000 (multiplicity 4)
Mg: 0.000 0.000 0.500 (multiplicity 2)
Mg: 0.000 0.335 0.000 (multiplicity 4)
Mg: 0.000 0.500 0.000 (multiplicity 2)
Mg: 0.119 0.244 0.500 (multiplicity 8)
Mg: 0.132 0.420 0.500 (multiplicity 8)
Mg: 0.246 0.332 0.000 (multiplicity 8)
Cu: 0.157 0.105 0.500 (multiplicity 8)

The excess energy over the best structure of this formula in the dataset is 0.000 eV/atom. The value obtained for the theoretical density is 3.205 g/cm3. The calculation puts the density of states at the Fermi level at 23.31 states/eV/cell. Its formation energy is -0.1610 eV/atom.

---

First-principles (meta-GGA SCAN) data for ZrZnBH2 at its PBEsol-relaxed geometry, as listed in the Alexandria database.

abc: 3.621 3.621 4.680
angles: 90.00 90.00 90.00
Space group P4/mmm (No. 123)
Unique sites:
Zr: 0.000 0.000 0.000 (multiplicity 1)
Zn: 0.500 0.500 0.500 (multiplicity 1)
B: 0.000 0.000 0.500 (multiplicity 1)
H: 0.000 0.500 0.000 (multiplicity 2)

The value obtained for the theoretical density is 4.586 g/cm3. As for the total energy: -11.25 eV/atom. The calculation puts the density of states at the Fermi level at 2.12 states/eV/cell.

---

First-principles (meta-GGA SCAN) data for ScSiPb2 at its PBEsol-relaxed geometry, as listed in the Alexandria database.

abc: 3.285 3.947 7.688
angles: 90.00 101.95 90.00
Space group Pm (No. 6)
Unique sites:
Sc: 0.000 0.000 0.000 (multiplicity 1)
Si: 0.560 0.500 0.124 (multiplicity 1)
Pb: 0.368 0.500 0.734 (multiplicity 1)
Pb: 0.694 0.000 0.400 (multiplicity 1)

The value obtained for the theoretical density is 8.302 g/cm3. The calculation puts the density of states at the Fermi level at 1.80 states/eV/cell. For the formation energy without anion corrections, the calculation gives -0.174 eV/atom.

---

First-principles (meta-GGA SCAN) data for TiRh3F at its PBEsol-relaxed geometry, as listed in the Alexandria database.

abc: 4.142 4.142 4.142
angles: 90.00 90.00 90.00
Space group Pm-3m (No. 221)
Unique sites:
Ti: 0.000 0.000 0.000 (multiplicity 1)
Rh: 0.000 0.500 0.500 (multiplicity 3)
F: 0.500 0.500 0.500 (multiplicity 1)

The excess energy over the best structure of this formula in the dataset is 0.000 eV/atom. The value obtained for the theoretical density is 8.778 g/cm3. The calculation puts the density of states at the Fermi level at 5.24 states/eV/cell. For the formation energy without anion corrections, the calculation gives 0.278 eV/atom.

---

First-principles (meta-GGA SCAN) data for TaAlAu2 at its PBEsol-relaxed geometry, as listed in the Alexandria database.

abc: 4.128 2.917 10.997
angles: 90.00 90.00 90.00
Space group Amm2 (No. 38)
Unique sites:
Ta: 0.000 0.000 0.000 (multiplicity 2)
Al: 0.500 0.000 0.614 (multiplicity 2)
Au: 0.000 0.000 0.742 (multiplicity 2)
Au: 0.500 0.000 0.371 (multiplicity 2)

The value obtained for the theoretical density is 15.098 g/cm3. The calculation puts the density of states at the Fermi level at 3.05 states/eV/cell. Its formation energy is -0.2667 eV/atom.

---

First-principles (meta-GGA SCAN) data for SmMgCd2 at its PBEsol-relaxed geometry, as listed in the Alexandria database.

abc: 7.170 7.170 7.170
angles: 90.00 90.00 90.00
Space group Fm-3m (No. 225)
Unique sites:
Sm: 0.000 0.000 0.000 (multiplicity 4)
Mg: 0.000 0.000 0.500 (multiplicity 4)
Cd: 0.250 0.250 0.250 (multiplicity 8)

The value obtained for the theoretical density is 7.199 g/cm3. The calculation puts the density of states at the Fermi level at 4.98 states/eV/cell. Its formation energy is -0.4407 eV/atom.

---

First-principles (meta-GGA SCAN) data for Ba2Nb6Te2O21 at its PBEsol-relaxed geometry, as listed in the Alexandria database.

abc: 16.831 5.712 9.693
angles: 90.00 96.82 90.00
Space group C2/m (No. 12)
Unique sites:
Ba: 0.140 0.000 0.031 (multiplicity 4)
Nb: 0.019 0.500 0.162 (multiplicity 4)
Nb: 0.099 0.000 0.416 (multiplicity 4)
Nb: 0.177 0.500 0.672 (multiplicity 4)
Te: 0.225 0.500 0.251 (multiplicity 4)
O: 0.000 0.000 0.500 (multiplicity 2)
O: 0.000 0.275 0.000 (multiplicity 4)
O: 0.066 0.242 0.279 (multiplicity 8)
O: 0.082 0.500 0.780 (multiplicity 4)
O: 0.142 0.500 0.101 (multiplicity 4)
O: 0.147 0.247 0.554 (multiplicity 8)
O: 0.208 0.000 0.344 (multiplicity 4)
O: 0.218 0.240 0.833 (multiplicity 8)

The value obtained for the theoretical density is 5.108 g/cm3. The calculation puts the density of states at the Fermi level at 0.00 states/eV/cell. For the formation energy without anion corrections, the calculation gives -2.572 eV/atom.